Arrangement A

Density functional theory data (PBE) for a geometry-optimized Er2RuCl structure.

Output
As for the density of states at the Fermi level: 0.314 states/eV per atom.

Unit cell a=3.3294 b=3.3294 c=7.9344 alpha=90.00 beta=90.00 gamma=90.00
Closest atoms and distances in Å follow each position.
Space group P4/mmm (No. 123)
Inequivalent atoms, fractional coordinates:
Er  0.0000  0.0000  0.2097 [2 per cell]  4 Ru 2.88
Ru  0.5000  0.5000  0.0000 [1 per cell]  8 Er 2.88
Cl  0.5000  0.5000  0.5000 [1 per cell]  8 Er 3.29, 4 Cl 3.33

***

Arrangement B

Density functional theory data (PBE) for a geometry-optimized Er2RuCl structure.

Output
As for the density of states at the Fermi level: 0.652 states/eV per atom.

Unit cell a=3.8684 b=3.8684 c=22.6756 alpha=90.00 beta=90.00 gamma=120.00
Closest atoms and distances in Å follow each position.
Space group R3m (No. 160, hexagonal axes)
Inequivalent atoms, fractional coordinates:
Er  0.0000  0.0000  0.0000 [3 per cell]  3 Ru 2.71
Er  0.0000  0.0000  0.1996 [3 per cell]  3 Ru 2.69
Ru  0.0000  0.0000  0.5989 [3 per cell]  6 Er 2.69-2.71
Cl  0.0000  0.0000  0.4277 [3 per cell]  6 Er 3.09-3.27

***

Most stable: arrangement A. Least stable: arrangement B.

***

Arrangement A

Density functional theory data (PBE) for a geometry-optimized Er2RuCl structure.

Output
As for the density of states at the Fermi level: 0.580 states/eV per atom.

Unit cell a=3.8881 b=3.8881 c=22.2371 alpha=90.00 beta=90.00 gamma=120.00
Closest atoms and distances in Å follow each position.
Space group R-3m (No. 166, hexagonal axes)
Inequivalent atoms, fractional coordinates:
Er  0.0000  0.0000  0.2343 [6 per cell]  3 Ru 2.70
Ru  0.0000  0.0000  0.5000 [3 per cell]  6 Er 2.70
Cl  0.0000  0.0000  0.0000 [3 per cell]  6 Er 3.14

***

Arrangement B

Density functional theory data (PBE) for a geometry-optimized Er2RuCl structure.

Output
As for the density of states at the Fermi level: 0.560 states/eV per atom.

Unit cell a=3.4231 b=3.3589 c=7.9881 alpha=90.00 beta=90.09 gamma=90.00
Closest atoms and distances in Å follow each position.
Space group P2/m (No. 10)
Inequivalent atoms, fractional coordinates:
Er  0.0007  0.0000  0.2058 [2 per cell]  2 Cl 2.89, 4 Ru 2.91
Ru  0.5000  0.5000  0.0000 [1 per cell]  8 Er 2.91
Cl  0.0000  0.5000  0.5000 [1 per cell]  4 Er 2.89

***

Most stable: arrangement B. Least stable: arrangement A.

***

Arrangement A

Density functional theory data (PBE) for a geometry-optimized Er2SeCl structure.

Output
As for the density of states at the Fermi level: 0.669 states/eV per atom.

Unit cell a=3.6775 b=3.6775 c=23.7493 alpha=90.00 beta=90.00 gamma=120.00
Closest atoms and distances in Å follow each position.
Space group R3m (No. 160, hexagonal axes)
Inequivalent atoms, fractional coordinates:
Er  0.0000  0.0000  0.0000 [3 per cell]  3 Se 2.83, 3 Cl 3.01
Er  0.0000  0.0000  0.1776 [3 per cell]  3 Se 2.80, 3 Cl 2.98
Se  0.0000  0.0000  0.5877 [3 per cell]  6 Er 2.80-2.83
Cl  0.0000  0.0000  0.4230 [3 per cell]  6 Er 2.98-3.01

***

Arrangement B

Density functional theory data (PBE) for a geometry-optimized Er2SeCl structure.

Output
As for the density of states at the Fermi level: 0.375 states/eV per atom.

Unit cell a=3.8258 b=3.8258 c=22.4157 alpha=90.00 beta=90.00 gamma=120.00
Closest atoms and distances in Å follow each position.
Space group R-3m (No. 166, hexagonal axes)
Inequivalent atoms, fractional coordinates:
Er  0.0000  0.0000  0.2395 [6 per cell]  3 Se 2.75, 3 Cl 3.05
Se  0.0000  0.0000  0.5000 [3 per cell]  6 Er 2.75
Cl  0.0000  0.0000  0.0000 [3 per cell]  6 Er 3.05

***

Most stable: arrangement A. Least stable: arrangement B.

***

Arrangement A

Density functional theory data (PBE) for a geometry-optimized TbErCl structure.

Output
As for the density of states at the Fermi level: 1.184 states/eV per atom.

Unit cell a=3.6561 b=3.6561 c=6.9677 alpha=90.00 beta=90.00 gamma=120.00
Closest atoms and distances in Å follow each position.
Space group P3m1 (No. 156)
Inequivalent atoms, fractional coordinates:
Tb  0.0000  0.0000  0.0000 [1 per cell]  3 Cl 3.04, 3 Er 3.38
Er  0.3333  0.6667  0.6208 [1 per cell]  3 Cl 3.00
Cl  0.6667  0.3333  0.3139 [1 per cell]  3 Er 3.00, 3 Tb 3.04

***

Arrangement B

Density functional theory data (PBE) for a geometry-optimized TbErCl structure.

Output
As for the density of states at the Fermi level: 0.777 states/eV per atom.

Unit cell a=3.6352 b=3.6353 c=16.3921 alpha=85.91 beta=84.08 gamma=60.00
Closest atoms and distances in Å follow each position.
Space group P1 (No. 1)
Inequivalent atoms, fractional coordinates:
Tb  0.0000  0.0000  0.0000 [1 per cell]  3 Cl 2.78
Tb  0.1213  0.2708  0.5233 [1 per cell]  3 Cl 2.78
Er  0.5957  0.6455  0.1750 [1 per cell]  9 Er 3.49-3.64, 3 Tb 3.54
Er  0.8600  0.9580  0.3460 [1 per cell]  9 Er 3.49-3.64, 3 Tb 3.57
Cl  0.7121  0.6800  0.8882 [1 per cell]  3 Tb 2.78
Cl  0.7423  0.9243  0.6355 [1 per cell]  3 Tb 2.78

***

Most stable: arrangement B. Least stable: arrangement A.